Below is a relaxed HfNbAgB2 crystal, with properties calculated at the GGA-PBEsol level.

Summary:
Its spin magnetization is 0.00 μB per formula unit. The space group is P4/mmm. For the volume, the calculation gives 83 Å³/cell. As for the final energy: -6.171 eV per atom. Its crystal system is tetragonal. Its formation enthalpy at 0 K is 1.56 eV per atom.

The structure in extended XYZ format:
```
5
Lattice="4.0523 0.0000 0.0000 0.0000 4.0523 0.0000 0.0000 0.0000 5.0301" Properties=species:S:1:pos:R:3 pbc="T T T"
Hf 0.0000 0.0000 0.0000
Nb 2.0261 2.0261 0.0000
Ag 2.0261 2.0261 2.5150
B 0.0000 2.0261 2.5150
B 2.0261 0.0000 2.5150
```

***

Below is a relaxed Li3Ni5O10 crystal, with properties calculated at the GGA-PBEsol level.

Summary:
Its spin magnetization is 2.95 μB per formula unit. The space group is P-1. For the volume, the calculation gives 163 Å³/cell. As for the final energy: -6.086 eV per atom. For the uncorrected formation energy, the calculation gives -1.131 eV per atom. Its crystal system is triclinic.

The structure in extended XYZ format:
```
18
Lattice="4.9527 0.0000 0.0000 -1.6620 5.4937 0.0000 -0.7548 -1.9078 6.0030" Properties=species:S:1:pos:R:3 pbc="T T T"
Li 0.0000 0.0000 0.0000
Li 0.0289 1.4377 2.4032
Li 2.5070 2.1482 3.5998
Ni -0.8310 2.7468 0.0000
Ni -0.7964 4.1745 2.4098
Ni 0.8784 0.0864 4.8358
Ni 1.6575 3.4994 1.1672
Ni 3.3323 -0.5886 3.5933
O -0.8829 0.9846 4.2462
O -1.6868 4.0428 4.1022
O -0.1100 4.3267 0.6867
O 0.7713 1.9210 0.4944
O 1.6584 0.2461 3.1529
O 0.8775 3.3398 2.8501
O 1.7646 1.6649 5.5086
O 2.6459 -0.7408 5.3163
O 4.2227 -0.4569 1.9009
O 3.4188 2.6013 1.7568
```

***

Below is a relaxed YZnOs2 crystal, with properties calculated at the GGA-PBEsol level.

Summary:
Its spin magnetization is 0.00 μB per formula unit. The space group is R3m. For the volume, the calculation gives 66 Å³/cell. As for the final energy: -7.812 eV per atom. Its crystal system is trigonal. Its formation enthalpy at 0 K is 0.40 eV per atom.

The structure in extended XYZ format:
```
4
Lattice="1.4077 0.8127 9.5438 -1.4077 0.8127 9.5438 0.0000 -1.6254 9.5438" Properties=species:S:1:pos:R:3 pbc="T T T"
Y 0.0000 0.0000 0.0000
Zn 0.0000 0.0000 21.7759
Os 0.0000 0.0000 6.9077
Os 0.0000 0.0000 14.4116
```

***

Below is a relaxed LaGdN2 crystal, with properties calculated at the GGA-PBEsol level.

Summary:
Its spin magnetization is 7.00 μB per formula unit. The space group is P4/mmm. For the volume, the calculation gives 66 Å³/cell. As for the final energy: -10.738 eV per atom. For the uncorrected formation energy, the calculation gives -1.526 eV per atom. Its crystal system is tetragonal.

The structure in extended XYZ format:
```
4
Lattice="3.6048 0.0000 0.0000 0.0000 3.6048 0.0000 0.0000 0.0000 5.1029" Properties=species:S:1:pos:R:3 pbc="T T T"
La 0.0000 0.0000 0.0000
Gd 1.8024 1.8024 2.5514
N 0.0000 0.0000 2.5514
N 1.8024 1.8024 0.0000
```

***

Below is a relaxed Ca2YSnAu crystal, with properties calculated at the GGA-PBEsol level.

Summary:
Its spin magnetization is 1.74 μB per formula unit. The space group is P4/mmm. For the volume, the calculation gives 197 Å³/cell. As for the final energy: -2.985 eV per atom. Its crystal system is tetragonal. Its formation enthalpy at 0 K is 0.87 eV per atom.

The structure in extended XYZ format:
```
5
Lattice="6.0232 0.0000 0.0000 0.0000 6.0232 0.0000 0.0000 0.0000 5.4377" Properties=species:S:1:pos:R:3 pbc="T T T"
Ca 0.0000 3.0116 0.0000
Ca 3.0116 0.0000 0.0000
Y 0.0000 0.0000 0.0000
Sn 0.0000 0.0000 2.7189
Au 3.0116 3.0116 2.7189
```

***

Below is a relaxed Te3Se5 crystal, with properties calculated at the GGA-PBEsol level.

Summary:
Its spin magnetization is 0.00 μB per formula unit. The space group is Cmmm. For the volume, the calculation gives 224 Å³/cell. As for the final energy: -3.578 eV per atom. For the uncorrected formation energy, the calculation gives 0.151 eV per atom. Its crystal system is orthorhombic.

The structure in extended XYZ format:
```
8
Lattice="3.8261 -7.6818 0.0000 3.8261 7.6818 0.0000 0.0000 0.0000 3.8168" Properties=species:S:1:pos:R:3 pbc="T T T"
Te 0.0000 0.0000 0.0000
Te 3.8261 3.0353 1.9084
Te 3.8261 -3.0353 1.9084
Se 1.9131 3.8409 0.0000
Se 1.9677 0.0000 1.9084
Se 1.9131 -3.8409 0.0000
Se 3.8261 0.0000 0.0000
Se 5.6846 0.0000 1.9084
```

***

Below is a relaxed As2PbO4 crystal, with properties calculated at the GGA-PBEsol level.

Summary:
Its spin magnetization is 0.00 μB per formula unit. The space group is P2_1/c. For the volume, the calculation gives 467 Å³/cell. As for the final energy: -6.249 eV per atom. For the uncorrected formation energy, the calculation gives -1.219 eV per atom. Its crystal system is monoclinic.

The structure in extended XYZ format:
```
28
Lattice="7.0383 0.0000 0.0000 0.0000 11.7184 0.0000 -2.2002 0.0000 5.6655" Properties=species:S:1:pos:R:3 pbc="T T T"
As 0.8148 1.6954 0.0622
As -0.2853 4.1638 2.8950
As 0.9390 6.8120 1.6482
As -0.1611 10.7656 4.4809
As 4.9992 0.9528 1.1846
As 3.8991 4.9064 4.0174
As 5.1234 7.5546 2.7705
As 4.0233 10.0230 5.6033
Pb 1.4739 7.6109 5.1164
Pb 2.5740 9.9667 2.2837
Pb 2.2641 1.7517 3.3819
Pb 3.3642 4.1075 0.5491
O -0.2360 0.9744 1.4193
O -1.3361 4.8848 4.2521
O 2.0604 0.3355 0.1326
O 0.9603 5.5237 2.9654
O 1.6752 2.7353 1.2015
O 0.5751 3.1239 4.0342
O 1.1306 8.1998 2.7277
O 0.0305 9.3778 5.5604
O 4.8076 2.3406 0.1051
O 3.7075 3.5186 2.9378
O 4.2630 8.5945 1.6313
O 3.1629 8.9831 4.4641
O 3.8778 6.1947 2.7001
O 2.7777 11.3829 5.5329
O 6.1742 6.8336 1.4135
O 5.0741 10.7440 4.2462
```

***

Below is a relaxed Mg8BPt4 crystal, with properties calculated at the GGA-PBEsol level.

Summary:
Its spin magnetization is 0.00 μB per formula unit. The space group is Fd-3m. For the volume, the calculation gives 456 Å³/cell. As for the final energy: -4.376 eV per atom. Its crystal system is cubic. Its formation enthalpy at 0 K is -0.64 eV per atom.

The structure in extended XYZ format:
```
26
Lattice="0.0000 6.1093 6.1093 6.1093 0.0000 6.1093 6.1093 6.1093 0.0000" Properties=species:S:1:pos:R:3 pbc="T T T"
Mg 0.0000 0.0000 0.0000
Mg 3.0546 3.0546 0.0000
Mg 3.0546 0.0000 3.0546
Mg 4.5820 4.5820 2.1380
Mg 4.5820 2.1380 4.5820
Mg 7.0259 4.5820 4.5820
Mg 7.6366 7.6366 5.1926
Mg 7.6366 5.1926 7.6366
Mg 10.0805 7.6366 7.6366
Mg 0.0000 3.0546 3.0546
Mg 2.1380 4.5820 4.5820
Mg 4.5820 7.0259 4.5820
Mg 4.5820 4.5820 7.0259
Mg 5.1926 7.6366 7.6366
Mg 7.6366 10.0805 7.6366
Mg 7.6366 7.6366 10.0805
B 1.5273 1.5273 1.5273
B 10.6912 10.6912 10.6912
Pt 9.4808 5.7924 5.7924
Pt 2.7377 2.7377 2.7377
Pt 6.4262 6.4262 2.7377
Pt 6.4262 2.7377 6.4262
Pt 5.7924 9.4808 5.7924
Pt 5.7924 5.7924 9.4808
Pt 9.4808 9.4808 9.4808
Pt 2.7377 6.4262 6.4262
```